# Ta meta-GGA SCAN PBEsol geometry
# Total DFT energy (no corrections) in eV per atom: -66.571
# Fermi-level density of states in states/eV per atom: 0.869
# Energy relative to the lowest polymorph listed for this composition in kJ/mol of atoms: 1.2
# Energy of formation from the pure elements in eV/f.u.: 0.0
# Magnetization in μB per formula unit: 0.0
data_Ta
_cell_length_a 5.280
_cell_length_b 10.117
_cell_length_c 10.117
_cell_angle_alpha 90.00
_cell_angle_beta 90.00
_cell_angle_gamma 90.00
_space_group_name_H-M_alt 'P 1'
_space_group_IT_number 1
loop_
_space_group_symop_operation_xyz
'x,y,z'
loop_
_atom_site_label
_atom_site_type_symbol
_atom_site_fract_x
_atom_site_fract_y
_atom_site_fract_z
Ta1 Ta 0.249 0.500 0.000
Ta2 Ta 0.751 0.000 0.500
Ta3 Ta 0.249 0.761 0.933
Ta4 Ta 0.751 0.067 0.761
Ta5 Ta 0.751 0.933 0.239
Ta6 Ta 0.249 0.239 0.067
Ta7 Ta 0.751 0.261 0.567
Ta8 Ta 0.751 0.739 0.433
Ta9 Ta 0.249 0.433 0.261
Ta10 Ta 0.249 0.567 0.739
Ta11 Ta 0.251 0.035 0.871
Ta12 Ta 0.749 0.129 0.035
Ta13 Ta 0.749 0.871 0.965
Ta14 Ta 0.251 0.965 0.129
Ta15 Ta 0.749 0.535 0.629
Ta16 Ta 0.749 0.465 0.371
Ta17 Ta 0.251 0.371 0.535
Ta18 Ta 0.251 0.629 0.465
Ta19 Ta 0.748 0.605 0.895
Ta20 Ta 0.252 0.105 0.605
Ta21 Ta 0.252 0.895 0.395
Ta22 Ta 0.748 0.395 0.105
Ta23 Ta 0.001 0.819 0.681
Ta24 Ta 0.999 0.319 0.819
Ta25 Ta 0.999 0.681 0.181
Ta26 Ta 0.001 0.181 0.319
Ta27 Ta 0.500 0.319 0.819
Ta28 Ta 0.500 0.181 0.319
Ta29 Ta 0.500 0.819 0.681
Ta30 Ta 0.500 0.681 0.181

# NdSmIn2 meta-GGA SCAN PBEsol geometry
# Total DFT energy (no corrections) in eV per atom: -39.353
# Fermi-level density of states in states/eV per atom: 0.396
# Energy of formation from the pure elements in eV/f.u.: -2.6
# Magnetization in μB per formula unit: 0.0
data_NdSmIn2
_cell_length_a 5.350
_cell_length_b 5.350
_cell_length_c 5.350
_cell_angle_alpha 60.00
_cell_angle_beta 60.00
_cell_angle_gamma 60.00
_space_group_name_H-M_alt 'P 1'
_space_group_IT_number 1
loop_
_space_group_symop_operation_xyz
'x,y,z'
loop_
_atom_site_label
_atom_site_type_symbol
_atom_site_fract_x
_atom_site_fract_y
_atom_site_fract_z
Nd1 Nd 0.000 0.000 0.000
Sm1 Sm 0.500 0.500 0.500
In1 In 0.750 0.750 0.750
In2 In 0.250 0.250 0.250

Repeat the first record exactly.
# Ta meta-GGA SCAN PBEsol geometry
# Total DFT energy (no corrections) in eV per atom: -66.571
# Fermi-level density of states in states/eV per atom: 0.869
# Energy relative to the lowest polymorph listed for this composition in kJ/mol of atoms: 1.2
# Energy of formation from the pure elements in eV/f.u.: 0.0
# Magnetization in μB per formula unit: 0.0
data_Ta
_cell_length_a 5.280
_cell_length_b 10.117
_cell_length_c 10.117
_cell_angle_alpha 90.00
_cell_angle_beta 90.00
_cell_angle_gamma 90.00
_space_group_name_H-M_alt 'P 1'
_space_group_IT_number 1
loop_
_space_group_symop_operation_xyz
'x,y,z'
loop_
_atom_site_label
_atom_site_type_symbol
_atom_site_fract_x
_atom_site_fract_y
_atom_site_fract_z
Ta1 Ta 0.249 0.500 0.000
Ta2 Ta 0.751 0.000 0.500
Ta3 Ta 0.249 0.761 0.933
Ta4 Ta 0.751 0.067 0.761
Ta5 Ta 0.751 0.933 0.239
Ta6 Ta 0.249 0.239 0.067
Ta7 Ta 0.751 0.261 0.567
Ta8 Ta 0.751 0.739 0.433
Ta9 Ta 0.249 0.433 0.261
Ta10 Ta 0.249 0.567 0.739
Ta11 Ta 0.251 0.035 0.871
Ta12 Ta 0.749 0.129 0.035
Ta13 Ta 0.749 0.871 0.965
Ta14 Ta 0.251 0.965 0.129
Ta15 Ta 0.749 0.535 0.629
Ta16 Ta 0.749 0.465 0.371
Ta17 Ta 0.251 0.371 0.535
Ta18 Ta 0.251 0.629 0.465
Ta19 Ta 0.748 0.605 0.895
Ta20 Ta 0.252 0.105 0.605
Ta21 Ta 0.252 0.895 0.395
Ta22 Ta 0.748 0.395 0.105
Ta23 Ta 0.001 0.819 0.681
Ta24 Ta 0.999 0.319 0.819
Ta25 Ta 0.999 0.681 0.181
Ta26 Ta 0.001 0.181 0.319
Ta27 Ta 0.500 0.319 0.819
Ta28 Ta 0.500 0.181 0.319
Ta29 Ta 0.500 0.819 0.681
Ta30 Ta 0.500 0.681 0.181

- total DFT energy (no corrections) of number 1 (Ta)?
  -66.571 eV per atom

- The highest total DFT energy (no corrections) belongs to which entry?
  NdSmIn2